Entry 1:
Here is a relaxed structure of VZnTePb2 from the Alexandria database. Energies are from PBE.

Properties
The size of the total moment comes out at 0.0 μB per formula unit. The uncorrected energy comes out at -19.376 eV for the cell shown.

Cell: 5.374 5.374 5.083 Å, 90.00 90.00 90.00°
Atoms (fractional coordinates):
V  0.000  0.000  0.000
Zn  0.500  0.500  0.500
Te  0.000  0.000  0.500
Pb  0.000  0.500  0.000
Pb  0.500  0.000  0.000



Entry 2:
Here is a relaxed structure of Dy3YTl4Se8 from the Alexandria database. Energies are from PBE.

Properties
The size of the total moment comes out at 0.0 μB per formula unit. The uncorrected energy comes out at -79.855 eV for the cell shown.

Cell: 9.154 9.154 9.154 Å, 54.44 54.44 54.44°
Atoms (fractional coordinates):
Dy  0.000  0.500  0.500
Dy  0.500  0.000  0.500
Dy  0.500  0.500  0.000
Y  0.000  0.000  0.000
Tl  0.000  0.000  0.500
Tl  0.000  0.500  0.000
Tl  0.500  0.000  0.000
Tl  0.500  0.500  0.500
Se  0.235  0.235  0.734
Se  0.235  0.734  0.235
Se  0.265  0.265  0.265
Se  0.266  0.765  0.765
Se  0.734  0.235  0.235
Se  0.735  0.735  0.735
Se  0.765  0.266  0.765
Se  0.765  0.765  0.266



Entry 3:
Here is a relaxed structure of RbSr3Cu from the Alexandria database. Energies are from PBE.

Properties
As for the formation energy: 0.05 eV/atom. The size of the total moment comes out at 0.0 μB per formula unit.

Cell: 6.277 6.277 6.277 Å, 90.00 90.00 90.00°
Atoms (fractional coordinates):
Rb  0.000  0.000  0.000
Sr  0.000  0.500  0.500
Sr  0.500  0.000  0.500
Sr  0.500  0.500  0.000
Cu  0.500  0.500  0.500